(1)
Density functional theory data (PBE-GGA) for a relaxed structure of Ac2Zn3SnPt4.

POSCAR file:
```
Ac2Zn3SnPt4
1.0
4.544 0.000 0.000
0.000 4.544 0.000
0.000 0.000 10.416
Ac Pt Zn Sn
2 4 3 1
direct
0.500 0.000 0.231
0.000 0.500 0.769
0.500 0.500 0.000
0.000 0.000 0.000
0.500 0.000 0.637
0.000 0.500 0.363
0.000 0.500 0.119
0.500 0.000 0.881
0.000 0.000 0.500
0.500 0.500 0.500
```

Output
- DOS(E_F) (states/eV/f.u.) = 6.8
- space-group type = No. 115
- formation energy from the elements (eV/atom) = -0.821

=====

(2)
Density functional theory data (PBE-GGA) for a relaxed structure of Nd8Ga3SBr4.

POSCAR file:
```
Nd8Ga3SBr4
1.0
-5.668 -0.290 6.346
0.354 -8.770 -0.084
7.219 4.415 0.939
Ga Nd Br S
3 8 4 1
direct
0.500 0.500 0.500
0.500 0.500 0.000
0.000 0.500 0.500
0.741 0.724 0.483
0.764 0.284 0.020
0.236 0.716 0.980
0.259 0.276 0.517
0.256 0.284 0.020
0.236 0.716 0.472
0.764 0.284 0.528
0.744 0.716 0.980
0.500 0.000 0.000
0.000 0.000 0.000
0.500 0.000 0.500
0.000 0.000 0.500
0.000 0.500 0.000
```

Output
- DOS(E_F) (states/eV/f.u.) = 10.0
- ΔE_f (raw) (kJ/mol of formula units) = -1685
- space-group type = No. 166

=====

(3)
Density functional theory data (PBE-GGA) for a relaxed structure of GdTm2Sn.

POSCAR file:
```
GdTm2Sn
1.0
-2.831 0.926 -1.756
-3.007 -1.598 0.601
-4.461 7.581 7.786
Tm Sn Gd
2 1 1
direct
0.905 0.905 0.284
0.095 0.095 0.716
0.500 0.500 0.500
0.000 0.000 0.000
```

Output
- DOS(E_F) (states/eV/f.u.) = 4.9
- space-group type = No. 166
- formation energy from the elements (eV/atom) = -0.006

=====

Summary of final energy in eV/atom
-4.84; -4.72; -6.76
(order as listed above)